Mg3IrPd2: optimized geometry, PBE.

Output
For the energy above the lowest structure with this stoichiometry, the calculation gives 0 meV per atom.

Cell lengths 7.083, 7.083, 6.253 Å; angles 90.00, 90.00, 143.11 degrees
Sites, in units of the cell vectors:
Mg 0.000 0.000 0.244
Mg 0.000 0.000 0.756
Mg 0.332 0.668 0.244
Mg 0.332 0.668 0.756
Mg 0.668 0.332 0.244
Mg 0.668 0.332 0.756
Ir 0.166 0.834 0.000
Ir 0.834 0.166 0.000
Pd 0.165 0.835 0.500
Pd 0.500 0.500 0.000
Pd 0.500 0.500 0.500
Pd 0.835 0.165 0.500

Mg4IrPd: optimized geometry, PBE.

Output
For the energy above the lowest structure with this stoichiometry, the calculation gives 0 meV per atom.

Cell lengths 4.442, 4.442, 7.653 Å; angles 106.96, 106.96, 60.05 degrees
Sites, in units of the cell vectors:
Mg 0.122 0.122 0.366
Mg 0.371 0.371 0.113
Mg 0.629 0.629 0.887
Mg 0.878 0.878 0.634
Ir 0.000 0.000 0.000
Pd 0.500 0.500 0.500

Mg7Ir2Pd2: optimized geometry, PBE.

Output
As for the energy: -42.7 eV per cell.

Cell lengths 5.671, 5.671, 6.817 Å; angles 98.17, 98.17, 107.87 degrees
Sites, in units of the cell vectors:
Mg 0.000 0.000 0.000
Mg 0.044 0.608 0.311
Mg 0.392 0.956 0.689
Mg 0.499 0.499 0.275
Mg 0.501 0.501 0.725
Mg 0.608 0.044 0.311
Mg 0.956 0.392 0.689
Ir 0.151 0.151 0.408
Ir 0.849 0.849 0.592
Pd 0.287 0.713 0.000
Pd 0.713 0.287 0.000

Mg6IrPd: optimized geometry, PBE.

Output
As for the energy: -24.5 eV per cell.

Cell lengths 6.058, 6.058, 6.088 Å; angles 102.56, 102.56, 121.84 degrees
Sites, in units of the cell vectors:
Mg 0.051 0.444 0.248
Mg 0.251 0.251 0.752
Mg 0.444 0.051 0.248
Mg 0.556 0.949 0.752
Mg 0.749 0.749 0.248
Mg 0.949 0.556 0.752
Ir 0.000 0.000 0.000
Pd 0.500 0.500 0.500

Calculated values (Å³ per atom) of volume for the records, taken in order: 15.69, 20.53, 18.41, 21.22.